# 1
This record from the Alexandria database describes crystalline HoSn2Ge at its relaxed geometry. The functional is PBE.

Output
- total magnetization (μB per atom) = 0.000
- polymorph energy (0 for the lowest one) (eV per atom) = 0.000
- raw total energy (eV for the cell shown) = -18.72
- energy relative to the elements (eV per atom) = -0.379

a = 4.4979 Å, b = 4.4979 Å, c = 4.7563 Å
α = 90.00°, β = 90.00°, γ = 90.00°
Fractional positions:
Ho (0.0000, 0.0000, 0.0000)
Sn (0.0000, 0.5000, 0.5000)
Sn (0.5000, 0.0000, 0.5000)
Ge (0.5000, 0.5000, 0.0000)

=====

# 2
This record from the Alexandria database describes crystalline Ho2SnGe at its relaxed geometry. The functional is PBE.

Output
- total magnetization (μB per atom) = 0.000
- raw total energy (eV for the cell shown) = -18.65
- energy relative to the elements (eV per atom) = -0.220

a = 9.6248 Å, b = 9.6248 Å, c = 9.6248 Å
α = 24.40°, β = 24.40°, γ = 24.40°
Fractional positions:
Ho (0.1111, 0.1111, 0.1111)
Ho (0.8889, 0.8889, 0.8889)
Sn (0.0000, 0.0000, 0.0000)
Ge (0.5000, 0.5000, 0.5000)

=====

# 3
This record from the Alexandria database describes crystalline Ho2SnGe at its relaxed geometry. The functional is PBE.

Output
- total magnetization (μB per atom) = 0.000
- raw total energy (eV for the cell shown) = -41.71
- energy relative to the elements (eV per atom) = -0.770

a = 5.9755 Å, b = 4.0935 Å, c = 8.5770 Å
α = 90.00°, β = 108.21°, γ = 90.00°
Fractional positions:
Ho (0.1893, 0.2500, 0.4217)
Ho (0.2805, 0.7500, 0.0593)
Ho (0.7195, 0.2500, 0.9407)
Ho (0.8107, 0.7500, 0.5783)
Sn (0.3852, 0.7500, 0.7066)
Sn (0.6148, 0.2500, 0.2934)
Ge (0.1105, 0.2500, 0.7978)
Ge (0.8895, 0.7500, 0.2022)

=====

# 4
This record from the Alexandria database describes crystalline HoSnGe4 at its relaxed geometry. The functional is PBE.

Output
- total magnetization (μB per atom) = 0.000
- raw total energy (eV for the cell shown) = -27.76
- energy relative to the elements (eV per atom) = -0.119

a = 5.6336 Å, b = 5.6336 Å, c = 5.6336 Å
α = 60.00°, β = 60.00°, γ = 60.00°
Fractional positions:
Ho (0.0000, 0.0000, 0.0000)
Sn (0.2500, 0.2500, 0.2500)
Ge (0.1245, 0.6252, 0.6252)
Ge (0.6252, 0.1245, 0.6252)
Ge (0.6252, 0.6252, 0.1245)
Ge (0.6252, 0.6252, 0.6252)

=====

# 5
This record from the Alexandria database describes crystalline HoSnGe2 at its relaxed geometry. The functional is PBE.

Output
- total magnetization (μB per atom) = 0.000
- polymorph energy (0 for the lowest one) (eV per atom) = 0.635
- raw total energy (eV for the cell shown) = -16.82
- energy relative to the elements (eV per atom) = 0.250

a = 7.6728 Å, b = 7.6728 Å, c = 7.6728 Å
α = 35.63°, β = 35.63°, γ = 35.63°
Fractional positions:
Ho (0.0000, 0.0000, 0.0000)
Sn (0.5000, 0.5000, 0.5000)
Ge (0.3812, 0.3812, 0.3812)
Ge (0.6188, 0.6188, 0.6188)

=====

# 6
This record from the Alexandria database describes crystalline HoSn2Ge at its relaxed geometry. The functional is PBE.

Output
- total magnetization (μB per atom) = 0.000
- polymorph energy (0 for the lowest one) (eV per atom) = 0.793
- raw total energy (eV for the cell shown) = -15.54
- energy relative to the elements (eV per atom) = 0.414

a = 7.9333 Å, b = 7.9333 Å, c = 7.9333 Å
α = 36.93°, β = 36.93°, γ = 36.93°
Fractional positions:
Ho (0.0000, 0.0000, 0.0000)
Sn (0.3846, 0.3846, 0.3846)
Sn (0.6154, 0.6154, 0.6154)
Ge (0.5000, 0.5000, 0.5000)

=====

> Look up the raw total energy of the sixth one.

-15.54 eV for the cell shown

=====

> Which of these has the lowest energy relative to the elements?

number 3